Ba2TaSe6: relaxed, PBE.

The crystal system is monoclinic. The calculation puts the raw formation energy at -0.966 eV per atom. As for the total magnetization: 1.0 μB/f.u. The theoretical density comes out at 5.607 Mg/m³.

It has space group C2/m (No. 12), with a = 14.103 Å, b = 8.052 Å, c = 4.879 Å, α = 90.00°, β = 96.50° and γ = 90.00°. The inequivalent atoms are Ba at (0.170, 0.000, 0.173), Ta at (0.000, 0.500, 0.500), Se at (0.000, 0.294, 0.000) and Se at (0.134, 0.278, 0.662).



AlRuPt2: relaxed, PBE.

The crystal system is tetragonal. As for the total magnetization: 0.0 μB/f.u. The theoretical density comes out at 14.579 Mg/m³. As for the energy of formation: -1.67 eV/f.u.

It has space group I4/mmm (No. 139), with a = 3.889 Å, b = 3.889 Å, c = 7.804 Å, α = 90.00°, β = 90.00° and γ = 90.00°. The inequivalent atoms are Al at (0.000, 0.000, 0.000), Ru at (0.000, 0.000, 0.500) and Pt at (0.000, 0.500, 0.250).